(1)
Below is B2SBr after structural relaxation, with properties calculated at the PBE-GGA level.

```
4
Lattice="0.0000 3.0302 3.0302 3.0302 0.0000 3.0302 3.0302 3.0302 0.0000" Properties=species:S:1:pos:R:3 pbc="T T T"
B 1.5151 1.5151 1.5151
B 4.5453 4.5453 4.5453
S 0.0000 0.0000 0.0000
Br 3.0302 3.0302 3.0302
```

Summary:
Relative energy among the computed polymorphs = 74.8 kJ/mol of atoms
Energy relative to the elements, uncorrected = 2.01 eV per atom
Symmetry = No. 225
Total moment = 0.000 μB per formula unit

(2)
Below is CaCdSb3 after structural relaxation, with properties calculated at the PBE-GGA level.

```
5
Lattice="5.5482 0.0000 0.0000 0.0000 5.5482 0.0000 0.0000 0.0000 5.5482" Properties=species:S:1:pos:R:3 pbc="T T T"
Ca 0.0000 0.0000 0.0000
Cd 2.7741 2.7741 2.7741
Sb 0.0000 2.7741 2.7741
Sb 2.7741 0.0000 2.7741
Sb 2.7741 2.7741 0.0000
```

Summary:
Relative energy among the computed polymorphs = 0.0 kJ/mol of atoms
Energy relative to the elements, uncorrected = 0.24 eV per atom
Symmetry = No. 221
Total moment = 0.000 μB per formula unit

(3)
Below is Tb2ZnOsC after structural relaxation, with properties calculated at the PBE-GGA level.

```
5
Lattice="4.9933 0.0000 0.0000 0.0000 4.9933 0.0000 0.0000 0.0000 3.9001" Properties=species:S:1:pos:R:3 pbc="T T T"
Tb 0.0000 2.4966 0.0000
Tb 2.4966 0.0000 0.0000
Zn 0.0000 0.0000 1.9501
Os 2.4966 2.4966 1.9501
C 2.4966 2.4966 0.0000
```

Summary:
E_form = -0.37 eV per atom
Symmetry = No. 123
Total moment = 0.000 μB per formula unit

(4)
Below is TcCl8 after structural relaxation, with properties calculated at the PBE-GGA level.

```
9
Lattice="-4.1159 4.1159 3.9594 4.1159 -4.1159 3.9594 4.1159 4.1159 -3.9594" Properties=species:S:1:pos:R:3 pbc="T T T"
Tc 0.0000 0.0000 0.0000
Cl 2.3093 0.0000 0.0000
Cl 5.9225 0.0000 0.0000
Cl 0.0000 2.3093 0.0000
Cl 2.8243 2.8243 0.0000
Cl 1.2917 -1.2917 3.9594
Cl -1.2917 1.2917 3.9594
Cl 1.2917 1.2917 3.9594
Cl 0.0000 5.9225 0.0000
```

Summary:
Energy relative to the elements, uncorrected = 0.08 eV per atom
Symmetry = No. 139
Total moment = 2.302 μB per formula unit

(5)
Below is Mg9Sc11Co4 after structural relaxation, with properties calculated at the PBE-GGA level.

```
24
Lattice="6.9245 -10.5039 0.0000 6.9245 10.5039 0.0000 0.0000 0.0000 3.3877" Properties=species:S:1:pos:R:3 pbc="T T T"
Mg 0.0000 0.0000 0.0000
Mg 5.3947 5.3190 0.0000
Mg 4.8686 1.5107 0.0000
Mg 8.4544 5.3190 0.0000
Mg 4.8686 -1.5107 0.0000
Mg 8.9805 1.5107 0.0000
Mg 5.3947 -5.3190 0.0000
Mg 8.9805 -1.5107 0.0000
Mg 8.4544 -5.3190 0.0000
Sc 3.3047 3.3885 1.6939
Sc 6.9245 7.7312 1.6939
Sc 2.6197 0.0000 1.6939
Sc 6.9245 3.1941 1.6939
Sc 3.3047 -3.3885 1.6939
Sc 6.9245 0.0000 1.6939
Sc 10.5444 3.3885 1.6939
Sc 6.9245 -3.1941 1.6939
Sc 11.2294 0.0000 1.6939
Sc 6.9245 -7.7312 1.6939
Sc 10.5444 -3.3885 1.6939
Co 1.9357 2.0181 0.0000
Co 1.9357 -2.0181 0.0000
Co 11.9134 2.0181 0.0000
Co 11.9134 -2.0181 0.0000
```

Summary:
E_form = -0.15 eV per atom
Symmetry = No. 65
Total moment = 0.628 μB per formula unit

(6)
Below is Zr2NiP2 after structural relaxation, with properties calculated at the PBE-GGA level.

```
10
Lattice="6.6490 0.0000 0.0000 0.0000 6.6490 0.0000 0.0000 0.0000 3.6373" Properties=species:S:1:pos:R:3 pbc="T T T"
Zr 1.0793 2.2452 0.0000
Zr 2.2452 5.5697 0.0000
Zr 4.4037 1.0793 0.0000
Zr 5.5697 4.4037 0.0000
Ni 0.0000 0.0000 1.8186
Ni 3.3245 3.3245 1.8186
P 0.9844 4.3089 1.8186
P 2.3401 0.9844 1.8186
P 4.3089 5.6646 1.8186
P 5.6646 2.3401 1.8186
```

Summary:
E_form = -0.95 eV per atom
Symmetry = No. 127
Total moment = 0.000 μB per formula unit

(7)
Below is Sm4Tl3Pt after structural relaxation, with properties calculated at the PBE-GGA level.

```
8
Lattice="3.6724 0.0000 0.0000 0.0000 3.6724 0.0000 0.0000 0.0000 16.1774" Properties=species:S:1:pos:R:3 pbc="T T T"
Sm 0.0000 0.0000 1.6936
Sm 0.0000 0.0000 5.9583
Sm 0.0000 0.0000 10.2190
Sm 0.0000 0.0000 14.4838
Tl 1.8362 1.8362 3.8765
Tl 1.8362 1.8362 8.0887
Tl 1.8362 1.8362 12.3009
Pt 1.8362 1.8362 0.0000
```

Summary:
E_form = -0.56 eV per atom
Symmetry = No. 123
Total moment = 0.000 μB per formula unit

(8)
Below is SrP2W after structural relaxation, with properties calculated at the PBE-GGA level.

```
4
Lattice="1.8204 1.0510 6.9987 -1.8204 1.0510 6.9987 0.0000 -2.1020 6.9987" Properties=species:S:1:pos:R:3 pbc="T T T"
Sr 0.0000 0.0000 0.0000
P 0.0000 0.0000 11.9767
P 0.0000 0.0000 16.2335
W 0.0000 0.0000 3.6528
```

Summary:
Relative energy among the computed polymorphs = 2.4 kJ/mol of atoms
E_form = -0.45 eV per atom
Symmetry = No. 160
Total moment = 0.000 μB per formula unit

> Which value of total moment does entry 2 give?

0.000 μB per formula unit

> Number 2 is which compound?

CaCdSb3

> Look up the total moment of the third one.

0.000 μB per formula unit